# 1
# Cr2MoPt8 (PBE, relaxed)
data_Cr2MoPt8
_chemical_formula_sum 'Cr4 Mo2 Pt16'
_space_group_name_H-M_alt 'C 1 2/m 1'
_space_group_IT_number 12
_space_group_name_Hall '-C 2y'
_cell_length_a 14.0972
_cell_length_b 3.9438
_cell_length_c 6.2679
_cell_angle_alpha 90.00
_cell_angle_beta 106.63
_cell_angle_gamma 90.00
loop_
_atom_site_label
_atom_site_fract_x
_atom_site_fract_y
_atom_site_fract_z
_atom_site_occupancy
Cr1 0.2217 0.0000 0.1423 1
Mo1 0.0000 0.5000 0.5000 1
Pt1 0.0452 0.0000 0.2300 1
Pt2 0.1004 0.5000 0.9485 1
Pt3 0.1383 0.0000 0.6881 1
Pt4 0.1812 0.5000 0.4125 1
# E_tot ... -7.37 eV per atom
# M_tot ... 4.8 μB/f.u.
# D(E_F) ... 21.111 states/eV/cell
# Calculated volume ... 334 Å³/cell


# 2
# CrMo2PtS (PBE, relaxed)
data_CrMo2PtS
_chemical_formula_sum 'Cr1 Mo2 Pt1 S1'
_space_group_name_H-M_alt 'P 4/m m m'
_space_group_IT_number 123
_space_group_name_Hall '-P 4 2'
_cell_length_a 4.9044
_cell_length_b 4.9044
_cell_length_c 4.6322
_cell_angle_alpha 90.00
_cell_angle_beta 90.00
_cell_angle_gamma 90.00
loop_
_atom_site_label
_atom_site_fract_x
_atom_site_fract_y
_atom_site_fract_z
_atom_site_occupancy
Cr1 0.0000 0.0000 0.0000 1
Mo1 0.0000 0.5000 0.5000 1
Pt1 0.5000 0.5000 0.5000 1
S1 0.5000 0.5000 0.0000 1
# M_tot ... 0.6 μB/f.u.
# D(E_F) ... 6.083 states/eV/cell
# Formation energy without anion corrections ... 8.6 eV/f.u.
# Calculated volume ... 111 Å³/cell


# 3
# PuCr4Mo (PBE, relaxed)
data_PuCr4Mo
_chemical_formula_sum 'Pu4 Cr16 Mo4'
_space_group_name_H-M_alt 'F -4 3 m'
_space_group_IT_number 216
_space_group_name_Hall 'F -4 2 3'
_cell_length_a 7.0310
_cell_length_b 7.0310
_cell_length_c 7.0310
_cell_angle_alpha 90.00
_cell_angle_beta 90.00
_cell_angle_gamma 90.00
loop_
_atom_site_label
_atom_site_fract_x
_atom_site_fract_y
_atom_site_fract_z
_atom_site_occupancy
Pu1 0.0000 0.0000 0.0000 1
Cr1 0.1245 0.1245 0.3755 1
Mo1 0.2500 0.2500 0.7500 1
# E_tot ... -10.28 eV per atom
# M_tot ... 5.6 μB/f.u.
# D(E_F) ... 50.982 states/eV/cell
# Calculated volume ... 348 Å³/cell


# 4
# RbCrMo2 (PBE, relaxed)
data_RbCrMo2
_chemical_formula_sum 'Rb4 Cr4 Mo8'
_space_group_name_H-M_alt 'F m -3 m'
_space_group_IT_number 225
_space_group_name_Hall '-F 4 2 3'
_cell_length_a 6.5073
_cell_length_b 6.5073
_cell_length_c 6.5073
_cell_angle_alpha 90.00
_cell_angle_beta 90.00
_cell_angle_gamma 90.00
loop_
_atom_site_label
_atom_site_fract_x
_atom_site_fract_y
_atom_site_fract_z
_atom_site_occupancy
Rb1 0.0000 0.0000 0.0000 1
Cr1 0.0000 0.0000 0.5000 1
Mo1 0.2500 0.2500 0.2500 1
# M_tot ... 0.0 μB/f.u.
# D(E_F) ... 14.022 states/eV/cell
# Calculated volume ... 276 Å³/cell
# Excess energy over the best structure of this formula in the dataset ... 0.013 eV/atom


# 5
# RbCrMo3 (PBE, relaxed)
data_RbCrMo3
_chemical_formula_sum 'Rb1 Cr1 Mo3'
_space_group_name_H-M_alt 'P m -3 m'
_space_group_IT_number 221
_space_group_name_Hall '-P 4 2 3'
_cell_length_a 4.6095
_cell_length_b 4.6095
_cell_length_c 4.6095
_cell_angle_alpha 90.00
_cell_angle_beta 90.00
_cell_angle_gamma 90.00
loop_
_atom_site_label
_atom_site_fract_x
_atom_site_fract_y
_atom_site_fract_z
_atom_site_occupancy
Rb1 0.0000 0.0000 0.0000 1
Cr1 0.5000 0.5000 0.5000 1
Mo1 0.0000 0.0000 0.5000 1
# M_tot ... 0.0 μB/f.u.
# D(E_F) ... 6.045 states/eV/cell
# Calculated volume ... 98 Å³/cell
# Excess energy over the best structure of this formula in the dataset ... 1.820 eV/atom


# 6
# RbCrMo3 (PBE, relaxed)
data_RbCrMo3
_chemical_formula_sum 'Rb1 Cr1 Mo3'
_space_group_name_H-M_alt 'P m -3 m'
_space_group_IT_number 221
_space_group_name_Hall '-P 4 2 3'
_cell_length_a 4.7120
_cell_length_b 4.7120
_cell_length_c 4.7120
_cell_angle_alpha 90.00
_cell_angle_beta 90.00
_cell_angle_gamma 90.00
loop_
_atom_site_label
_atom_site_fract_x
_atom_site_fract_y
_atom_site_fract_z
_atom_site_occupancy
Rb1 0.0000 0.0000 0.0000 1
Cr1 0.5000 0.5000 0.5000 1
Mo1 0.0000 0.5000 0.5000 1
# M_tot ... 0.0 μB/f.u.
# D(E_F) ... 7.006 states/eV/cell
# Calculated volume ... 105 Å³/cell
# Excess energy over the best structure of this formula in the dataset ... 0.000 eV/atom


# 7
# RbCrMo2 (PBE, relaxed)
data_RbCrMo2
_chemical_formula_sum 'Rb4 Cr4 Mo8'
_space_group_name_H-M_alt 'I -4 2 d'
_space_group_IT_number 122
_space_group_name_Hall 'I -4 2bw'
_cell_length_a 5.2212
_cell_length_b 5.2212
_cell_length_c 15.7172
_cell_angle_alpha 90.00
_cell_angle_beta 90.00
_cell_angle_gamma 90.00
loop_
_atom_site_label
_atom_site_fract_x
_atom_site_fract_y
_atom_site_fract_z
_atom_site_occupancy
Rb1 0.0000 0.0000 0.0000 1
Cr1 0.0000 0.0000 0.5000 1
Mo1 0.0163 0.7500 0.6250 1
# M_tot ... 0.0 μB/f.u.
# D(E_F) ... 22.896 states/eV/cell
# Calculated volume ... 428 Å³/cell
# Excess energy over the best structure of this formula in the dataset ... 0.000 eV/atom


# 8
# CrRe2Mo (PBE, relaxed)
data_CrRe2Mo
_chemical_formula_sum 'Cr1 Re2 Mo1'
_space_group_name_H-M_alt 'P m m m'
_space_group_IT_number 47
_space_group_name_Hall '-P 2 2'
_cell_length_a 3.0583
_cell_length_b 4.3568
_cell_length_c 4.3667
_cell_angle_alpha 90.00
_cell_angle_beta 90.00
_cell_angle_gamma 90.00
loop_
_atom_site_label
_atom_site_fract_x
_atom_site_fract_y
_atom_site_fract_z
_atom_site_occupancy
Cr1 0.0000 0.0000 0.0000 1
Re1 0.0000 0.5000 0.5000 1
Re2 0.5000 0.5000 0.0000 1
Mo1 0.5000 0.0000 0.5000 1
# M_tot ... 0.0 μB/f.u.
# D(E_F) ... 3.588 states/eV/cell
# Calculated volume ... 58 Å³/cell
# Excess energy over the best structure of this formula in the dataset ... 0.026 eV/atom


# 9
# CrReMo2 (PBE, relaxed)
data_CrReMo2
_chemical_formula_sum 'Cr2 Re2 Mo4'
_space_group_name_H-M_alt 'C m m m'
_space_group_IT_number 65
_space_group_name_Hall '-C 2 2'
_cell_length_a 3.0868
_cell_length_b 4.4014
_cell_length_c 8.6570
_cell_angle_alpha 90.00
_cell_angle_beta 90.00
_cell_angle_gamma 90.00
loop_
_atom_site_label
_atom_site_fract_x
_atom_site_fract_y
_atom_site_fract_z
_atom_site_occupancy
Cr1 0.0000 0.0000 0.0000 1
Re1 0.0000 0.0000 0.5000 1
Mo1 0.0000 0.5000 0.2388 1
# M_tot ... 0.0 μB/f.u.
# D(E_F) ... 6.505 states/eV/cell
# Calculated volume ... 118 Å³/cell
# Excess energy over the best structure of this formula in the dataset ... 0.045 eV/atom


# 10
# CrRe2Mo (PBE, relaxed)
data_CrRe2Mo
_chemical_formula_sum 'Cr1 Re2 Mo1'
_space_group_name_H-M_alt 'P m m 2'
_space_group_IT_number 25
_space_group_name_Hall 'P 2 -2'
_cell_length_a 2.7527
_cell_length_b 3.8760
_cell_length_c 5.4811
_cell_angle_alpha 90.00
_cell_angle_beta 90.00
_cell_angle_gamma 90.00
loop_
_atom_site_label
_atom_site_fract_x
_atom_site_fract_y
_atom_site_fract_z
_atom_site_occupancy
Cr1 0.0000 0.0000 0.0000 1
Re1 0.0000 0.0000 0.5093 1
Re2 0.5000 0.5000 0.7593 1
Mo1 0.5000 0.5000 0.2466 1
# M_tot ... 0.0 μB/f.u.
# D(E_F) ... 4.721 states/eV/cell
# Calculated volume ... 58 Å³/cell
# Excess energy over the best structure of this formula in the dataset ... 0.131 eV/atom


# 11
# Cr2ReMo (PBE, relaxed)
data_Cr2ReMo
_chemical_formula_sum 'Cr4 Re2 Mo2'
_space_group_name_H-M_alt 'C 1 2/m 1'
_space_group_IT_number 12
_space_group_name_Hall '-C 2y'
_cell_length_a 5.2855
_cell_length_b 8.3840
_cell_length_c 2.6315
_cell_angle_alpha 90.00
_cell_angle_beta 109.72
_cell_angle_gamma 90.00
loop_
_atom_site_label
_atom_site_fract_x
_atom_site_fract_y
_atom_site_fract_z
_atom_site_occupancy
Cr1 0.2500 0.2500 0.0000 1
Re1 0.0000 0.0000 0.5000 1
Mo1 0.0000 0.5000 0.5000 1
# E_tot ... -10.55 eV per atom
# M_tot ... 0.0 μB/f.u.
# D(E_F) ... 8.700 states/eV/cell
# Calculated volume ... 110 Å³/cell


# 12
# CrRe2Mo (PBE, relaxed)
data_CrRe2Mo
_chemical_formula_sum 'Cr3 Re6 Mo3'
_space_group_name_H-M_alt 'R -3 m'
_space_group_IT_number 166
_space_group_name_Hall '-R 3 2"'
_cell_length_a 2.7507
_cell_length_b 2.7507
_cell_length_c 26.7364
_cell_angle_alpha 90.00
_cell_angle_beta 90.00
_cell_angle_gamma 120.00
loop_
_atom_site_label
_atom_site_fract_x
_atom_site_fract_y
_atom_site_fract_z
_atom_site_occupancy
Cr1 0.0000 0.0000 0.0000 1
Re1 0.0000 0.0000 0.2550 1
Mo1 0.0000 0.0000 0.5000 1
# M_tot ... 0.0 μB/f.u.
# D(E_F) ... 13.451 states/eV/cell
# Calculated volume ... 175 Å³/cell
# Excess energy over the best structure of this formula in the dataset ... 0.140 eV/atom